Entry 1:
## ScFe2As (GGA-PBE)

Data for ScFe2As after structural relaxation.

Structure (CIF):
```
data_ScFe2As
_chemical_formula_sum 'Sc1 Fe2 As1'
_cell_length_a 3.1248
_cell_length_b 3.1248
_cell_length_c 6.1847
_cell_angle_alpha 90.00
_cell_angle_beta 90.00
_cell_angle_gamma 90.00
_symmetry_space_group_name_H-M 'P 4 m m'
_symmetry_Int_Tables_number 99
loop_
_symmetry_equiv_pos_as_xyz
'x,y,z'
'-y,x,z'
'-x,-y,z'
'y,-x,z'
'-x,y,z'
'y,x,z'
'x,-y,z'
'-y,-x,z'
loop_
_atom_site_label
_atom_site_type_symbol
_atom_site_fract_x
_atom_site_fract_y
_atom_site_fract_z
_atom_site_occupancy
Sc1 Sc 0.0000 0.0000 0.0000 1
Fe1 Fe 0.0000 0.0000 0.5156 1
Fe2 Fe 0.5000 0.5000 0.7224 1
As1 As 0.5000 0.5000 0.3151 1
```



Entry 2:
## ScFe2As (GGA-PBE)

Data for ScFe2As after structural relaxation.

Structure (CIF):
```
data_ScFe2As
_chemical_formula_sum 'Sc2 Fe4 As2'
_cell_length_a 5.3564
_cell_length_b 8.9246
_cell_length_c 2.9595
_cell_angle_alpha 90.00
_cell_angle_beta 121.44
_cell_angle_gamma 90.00
_symmetry_space_group_name_H-M 'C 1 2/m 1'
_symmetry_Int_Tables_number 12
loop_
_symmetry_equiv_pos_as_xyz
'x,y,z'
'-x,-y,-z'
'-x,y,-z'
'x,-y,z'
'x+1/2,y+1/2,z'
'-x+1/2,-y+1/2,-z'
'-x+1/2,y+1/2,-z'
'x+1/2,-y+1/2,z'
loop_
_atom_site_label
_atom_site_type_symbol
_atom_site_fract_x
_atom_site_fract_y
_atom_site_fract_z
_atom_site_occupancy
Sc1 Sc 0.0000 0.0000 0.0000 1
Fe1 Fe 0.2500 0.2500 0.5000 1
As1 As 0.0000 0.5000 0.0000 1
```



Entry 3:
## ScFe2As (GGA-PBE)

Data for ScFe2As after structural relaxation.

Structure (CIF):
```
data_ScFe2As
_chemical_formula_sum 'Sc4 Fe8 As4'
_cell_length_a 6.8474
_cell_length_b 6.8474
_cell_length_c 5.3446
_cell_angle_alpha 90.00
_cell_angle_beta 90.00
_cell_angle_gamma 90.00
_symmetry_space_group_name_H-M 'I -4 2 d'
_symmetry_Int_Tables_number 122
_symmetry_space_group_name_Hall 'I -4 2bw'
loop_
_atom_site_label
_atom_site_type_symbol
_atom_site_fract_x
_atom_site_fract_y
_atom_site_fract_z
_atom_site_occupancy
Sc1 Sc 0.0000 0.0000 0.0000 1
Fe1 Fe 0.1843 0.2500 0.6250 1
As1 As 0.0000 0.0000 0.5000 1
```



Entry 4:
## ScFe2As (GGA-PBE)

Data for ScFe2As after structural relaxation.

Structure (CIF):
```
data_ScFe2As
_chemical_formula_sum 'Sc1 Fe2 As1'
_cell_length_a 4.0635
_cell_length_b 4.0635
_cell_length_c 3.1743
_cell_angle_alpha 90.00
_cell_angle_beta 90.00
_cell_angle_gamma 90.00
_symmetry_space_group_name_H-M 'P 4/m m m'
_symmetry_Int_Tables_number 123
_symmetry_space_group_name_Hall '-P 4 2'
loop_
_atom_site_label
_atom_site_type_symbol
_atom_site_fract_x
_atom_site_fract_y
_atom_site_fract_z
_atom_site_occupancy
Sc1 Sc 0.0000 0.0000 0.0000 1
Fe1 Fe 0.0000 0.5000 0.5000 1
As1 As 0.5000 0.5000 0.0000 1
```



no.,total energy (eV/atom)
1,-7.17
2,-7.05
3,-6.76
4,-7.17